Record 1
Computed, not measured: a geometry-optimized ScBP2Cl structure at the PBE level of DFT.

excess energy over the best structure of this formula in the dataset: 0.0000 eV per atom

a = 4.0214 Å, b = 4.0214 Å, c = 4.9911 Å
α = 90.00°, β = 90.00°, γ = 90.00°
With the nearest neighbours (Å) after each atom.
Space group P4/mmm (No. 123)
Asymmetric unit:
Sc (0.0000, 0.0000, 0.0000) (multiplicity 1)  4 Cl 2.84
B (0.5000, 0.5000, 0.5000) (multiplicity 1)  4 P 2.01
P (0.0000, 0.5000, 0.5000) (multiplicity 2)  2 B 2.01
Cl (0.5000, 0.5000, 0.0000) (multiplicity 1)  2 B 2.50

=====

Record 2
Computed, not measured: a geometry-optimized ScBPCl2 structure at the PBE level of DFT.

excess energy over the best structure of this formula in the dataset: 0.0000 eV per atom

a = 4.2450 Å, b = 4.2450 Å, c = 4.6057 Å
α = 90.00°, β = 90.00°, γ = 90.00°
With the nearest neighbours (Å) after each atom.
Space group P4/mmm (No. 123)
Asymmetric unit:
Sc (0.0000, 0.0000, 0.0000) (multiplicity 1)  4 P 3.00, 8 Cl 3.13
B (0.5000, 0.5000, 0.5000) (multiplicity 1)  4 Cl 2.12, 2 P 2.30
P (0.5000, 0.5000, 0.0000) (multiplicity 1)  2 B 2.30
Cl (0.0000, 0.5000, 0.5000) (multiplicity 2)  2 B 2.12

=====

Record 3
Computed, not measured: a geometry-optimized ScBPCl2 structure at the PBE level of DFT.

excess energy over the best structure of this formula in the dataset: 0.1670 eV per atom

a = 4.8262 Å, b = 4.8262 Å, c = 5.3595 Å
α = 90.00°, β = 90.00°, γ = 90.00°
With the nearest neighbours (Å) after each atom.
Space group P4/mmm (No. 123)
Asymmetric unit:
Sc (0.0000, 0.0000, 0.0000) (multiplicity 1)  4 Cl 2.41, 2 P 2.68
B (0.5000, 0.5000, 0.5000) (multiplicity 1)  4 P 3.41, 8 Cl 3.61
P (0.0000, 0.0000, 0.5000) (multiplicity 1)  2 Sc 2.68
Cl (0.0000, 0.5000, 0.0000) (multiplicity 2)  2 Sc 2.41

=====

Record 4
Computed, not measured: a geometry-optimized SiBP2Cl structure at the PBE level of DFT.

excess energy over the best structure of this formula in the dataset: 0.0000 eV per atom

a = 4.2185 Å, b = 4.2185 Å, c = 4.1914 Å
α = 90.00°, β = 90.00°, γ = 90.00°
With the nearest neighbours (Å) after each atom.
Space group P4/mmm (No. 123)
Asymmetric unit:
Si (0.0000, 0.0000, 0.0000) (multiplicity 1)  8 P 2.97, 4 Cl 2.98
B (0.5000, 0.5000, 0.5000) (multiplicity 1)  2 Cl 2.10, 4 P 2.11
P (0.0000, 0.5000, 0.5000) (multiplicity 2)  2 B 2.11
Cl (0.5000, 0.5000, 0.0000) (multiplicity 1)  2 B 2.10

=====

Record 5
Computed, not measured: a geometry-optimized SiBP2Cl structure at the PBE level of DFT.

excess energy over the best structure of this formula in the dataset: 0.4397 eV per atom

a = 4.5249 Å, b = 4.5249 Å, c = 4.7228 Å
α = 90.00°, β = 90.00°, γ = 90.00°
With the nearest neighbours (Å) after each atom.
Space group P4/mmm (No. 123)
Asymmetric unit:
Si (0.0000, 0.0000, 0.0000) (multiplicity 1)  4 P 2.26, 2 Cl 2.36
B (0.5000, 0.5000, 0.5000) (multiplicity 1)  4 Cl 3.20, 8 P 3.27
P (0.0000, 0.5000, 0.0000) (multiplicity 2)  2 Si 2.26
Cl (0.0000, 0.0000, 0.5000) (multiplicity 1)  2 Si 2.36

=====

Record 6
Computed, not measured: a geometry-optimized Sm4BPCl2 structure at the PBE level of DFT.

a = 6.9663 Å, b = 3.9974 Å, c = 7.2937 Å
α = 90.00°, β = 108.39°, γ = 90.00°
With the nearest neighbours (Å) after each atom.
Space group P2/m (No. 10)
Asymmetric unit:
Sm (0.2171, 0.0000, 0.2033) (multiplicity 2)  2 B 2.66, 1 P 2.82
Sm (0.2465, 0.5000, 0.7914) (multiplicity 2)  1 B 2.63, 2 P 2.78
B (0.0000, 0.5000, 0.0000) (multiplicity 1)  6 Sm 2.63-2.66
P (0.5000, 0.0000, 0.0000) (multiplicity 1)  6 Sm 2.78-2.82
Cl (0.0000, 0.0000, 0.5000) (multiplicity 1)  6 Sm 3.01-3.03
Cl (0.5000, 0.5000, 0.5000) (multiplicity 1)  6 Sm 3.14-3.16

=====

Record 7
Computed, not measured: a geometry-optimized SnBP2Cl structure at the PBE level of DFT.

excess energy over the best structure of this formula in the dataset: 0.0000 eV per atom

a = 4.0549 Å, b = 4.0549 Å, c = 5.8443 Å
α = 90.00°, β = 90.00°, γ = 90.00°
With the nearest neighbours (Å) after each atom.
Space group P4/mmm (No. 123)
Asymmetric unit:
Sn (0.0000, 0.0000, 0.0000) (multiplicity 1)  4 Cl 2.87
B (0.5000, 0.5000, 0.5000) (multiplicity 1)  4 P 2.03
P (0.0000, 0.5000, 0.5000) (multiplicity 2)  2 B 2.03
Cl (0.5000, 0.5000, 0.0000) (multiplicity 1)  4 Sn 2.87, 2 B 2.92

=====

Record 8
Computed, not measured: a geometry-optimized SnBPCl2 structure at the PBE level of DFT.

excess energy over the best structure of this formula in the dataset: 0.6023 eV per atom

a = 5.2261 Å, b = 5.2261 Å, c = 5.2447 Å
α = 90.00°, β = 90.00°, γ = 90.00°
With the nearest neighbours (Å) after each atom.
Space group P4/mmm (No. 123)
Asymmetric unit:
Sn (0.0000, 0.0000, 0.0000) (multiplicity 1)  4 Cl 2.61, 2 P 2.62
B (0.5000, 0.5000, 0.5000) (multiplicity 1)  4 P 3.70, 8 Cl 3.70
P (0.0000, 0.0000, 0.5000) (multiplicity 1)  2 Sn 2.62
Cl (0.0000, 0.5000, 0.0000) (multiplicity 2)  2 Sn 2.61

=====

Energy relative to the elements, uncorrected in meV/atom, matching the order above: 99, 37, 204, 918, 1358, -1270, 532, 986
DOS at the Fermi energy in states/eV per cell, matching the order above: 2.7, 1.7, 2.5, 3.6, 4.1, 3.0, 1.2, 2.6
Total energy in eV per atom, matching the order above: -5.0356, -4.3852, -4.2182, -4.0350, -3.5953, -5.6024, -4.1377, -2.9711